Density functional theory data (PBE-GGA) for a relaxed structure of BaNa2Hg4Pb.

Unit cell a=5.265 b=5.265 c=10.462 alpha=75.43 beta=75.43 gamma=60.00
Fractional positions:
Ba 0.000 0.000 0.000
Na 0.768 0.768 0.695
Na 0.232 0.232 0.305
Hg 0.392 0.392 0.825
Hg 0.881 0.881 0.357
Hg 0.119 0.119 0.643
Hg 0.608 0.608 0.175
Pb 0.500 0.500 0.500

## Properties
For the density of states at the Fermi level, the calculation gives 3.91 states/eV/cell. The calculation puts the formation energy from the elements at -291 meV per atom. The uncorrected energy comes out at -1.4755 eV per atom. Its space group is R-3m (166).